(1)
Here is an optimized crystal structure of LaMnB from Alexandria. Energies are from PBE.

It has space group Cm (No. 8), with a = 10.4764 Å, b = 3.9133 Å, c = 5.6164 Å, α = 90.00°, β = 107.20° and γ = 90.00°. The distinct sites, in fractional coordinates, are La at (0.0000, 0.0000, 0.0000), La at (0.1662, 0.5000, 0.5963), Mn at (0.2982, 0.0000, 0.2036), Mn at (0.4039, 0.5000, 0.4555), B at (0.2467, 0.5000, 0.1312) and B at (0.3965, 0.0000, 0.5730).

Its formation energy is -0.037 eV per atom. Its density of states at the Fermi level is 0.805 states/eV per atom. The volume comes out at 18.33 Å³ per atom. The value obtained for the magnetic moment is 1.5 μB per formula unit.

(2)
Here is an optimized crystal structure of LaMnB from Alexandria. Energies are from PBE.

It has space group C2/m (No. 12), with a = 9.9952 Å, b = 3.5629 Å, c = 6.9049 Å, α = 90.00°, β = 122.79° and γ = 90.00°. The distinct sites, in fractional coordinates, are La at (0.0617, 0.0000, 0.3254), Mn at (0.1878, 0.5000, 0.0735) and B at (0.2029, 0.5000, 0.7809).

Its formation energy is -0.053 eV per atom. Its density of states at the Fermi level is 0.736 states/eV per atom. The volume comes out at 17.23 Å³ per atom. The value obtained for the magnetic moment is 2.0 μB per formula unit.

(3)
Here is an optimized crystal structure of LaMnB from Alexandria. Energies are from PBE.

It has space group Cm (No. 8), with a = 6.2696 Å, b = 4.8790 Å, c = 7.7610 Å, α = 90.00°, β = 90.95° and γ = 90.00°. The distinct sites, in fractional coordinates, are La at (0.0000, 0.0000, 0.0000), La at (0.0062, 0.5000, 0.5918), Mn at (0.0519, 0.5000, 0.2401), Mn at (0.4528, 0.5000, 0.3517) and B at (0.2524, 0.1749, 0.2962).

Its formation energy is -0.183 eV per atom. Its density of states at the Fermi level is 0.716 states/eV per atom. The volume comes out at 19.78 Å³ per atom. The value obtained for the magnetic moment is 2.2 μB per formula unit.

(4)
Here is an optimized crystal structure of LaMnB from Alexandria. Energies are from PBE.

It has space group P2_1/m (No. 11), with a = 5.0317 Å, b = 4.0060 Å, c = 5.6238 Å, α = 90.00°, β = 106.79° and γ = 90.00°. The distinct sites, in fractional coordinates, are La at (0.1815, 0.2500, 0.2997), Mn at (0.3611, 0.7500, 0.8779) and B at (0.3077, 0.2500, 0.8240).

Its formation energy is -0.066 eV per atom. Its density of states at the Fermi level is 0.723 states/eV per atom. The volume comes out at 18.09 Å³ per atom. The value obtained for the magnetic moment is 0.8 μB per formula unit.

(5)
Here is an optimized crystal structure of LaMnB from Alexandria. Energies are from PBE.

It has space group P4/nmm (No. 129, origin choice 2), with a = 3.6479 Å, b = 3.6479 Å, c = 8.6275 Å, α = 90.00°, β = 90.00° and γ = 90.00°. The distinct sites, in fractional coordinates, are La at (0.2500, 0.2500, 0.2116), Mn at (0.2500, 0.7500, 0.5000) and B at (0.2500, 0.2500, 0.6194).

Its formation energy is -0.223 eV per atom. Its density of states at the Fermi level is 0.969 states/eV per atom. The volume comes out at 19.13 Å³ per atom. The value obtained for the magnetic moment is 1.8 μB per formula unit.

(6)
Here is an optimized crystal structure of LaMnB12 from Alexandria. Energies are from PBE.

It has space group P4/mmm (No. 123), with a = 4.1347 Å, b = 4.1347 Å, c = 8.2614 Å, α = 90.00°, β = 90.00° and γ = 90.00°. The distinct sites, in fractional coordinates, are La at (0.0000, 0.0000, 0.0000), Mn at (0.0000, 0.0000, 0.5000), B at (0.2004, 0.5000, 0.2522), B at (0.5000, 0.5000, 0.1011) and B at (0.5000, 0.5000, 0.4008).

Its formation energy is -0.144 eV per atom. Its density of states at the Fermi level is 0.152 states/eV per atom. The volume comes out at 10.09 Å³ per atom. The value obtained for the magnetic moment is 4.6 μB per formula unit.

(7)
Here is an optimized crystal structure of LaMnBN2 from Alexandria. Energies are from PBE.

It has space group P4/mmm (No. 123), with a = 3.6943 Å, b = 3.6943 Å, c = 4.5486 Å, α = 90.00°, β = 90.00° and γ = 90.00°. The distinct sites, in fractional coordinates, are La at (0.0000, 0.0000, 0.0000), Mn at (0.5000, 0.5000, 0.0000), B at (0.0000, 0.0000, 0.5000) and N at (0.0000, 0.5000, 0.5000).

Its density of states at the Fermi level is 0.679 states/eV per atom. The volume comes out at 12.42 Å³ per atom. The calculation puts the uncorrected formation energy at 1.493 eV/atom. The value obtained for the magnetic moment is 3.1 μB per formula unit.

(8)
Here is an optimized crystal structure of LaMn2BPt from Alexandria. Energies are from PBE.

It has space group P4/mmm (No. 123), with a = 4.9559 Å, b = 4.9559 Å, c = 4.0871 Å, α = 90.00°, β = 90.00° and γ = 90.00°. The distinct sites, in fractional coordinates, are La at (0.0000, 0.0000, 0.0000), Mn at (0.0000, 0.5000, 0.5000), B at (0.5000, 0.5000, 0.0000) and Pt at (0.5000, 0.5000, 0.5000).

Its formation energy is 0.290 eV per atom. Its density of states at the Fermi level is 0.909 states/eV per atom. The volume comes out at 20.08 Å³ per atom. The value obtained for the magnetic moment is 7.6 μB per formula unit.

(9)
Here is an optimized crystal structure of La2MnB3Pt12 from Alexandria. Energies are from PBE.

It has space group R-3m (No. 166, hexagonal axes), with a = 7.9383 Å, b = 7.9383 Å, c = 17.7304 Å, α = 90.00°, β = 90.00° and γ = 120.00°. The distinct sites, in fractional coordinates, are La at (0.0000, 0.0000, 0.1073), Mn at (0.0000, 0.0000, 0.5000), B at (0.0000, 0.5000, 0.0000), Pt at (0.0005, 0.5002, 0.1199) and Pt at (0.0592, 0.5296, 0.3546).

Its formation energy is -0.449 eV per atom. Its density of states at the Fermi level is 0.437 states/eV per atom. The volume comes out at 17.92 Å³ per atom. The value obtained for the magnetic moment is 3.9 μB per formula unit.

(10)
Here is an optimized crystal structure of LaTiMnB2 from Alexandria. Energies are from PBE.

It has space group P4/mmm (No. 123), with a = 4.5537 Å, b = 4.5537 Å, c = 4.9932 Å, α = 90.00°, β = 90.00° and γ = 90.00°. The distinct sites, in fractional coordinates, are La at (0.0000, 0.0000, 0.0000), Ti at (0.5000, 0.5000, 0.5000), Mn at (0.0000, 0.0000, 0.5000) and B at (0.0000, 0.5000, 0.0000).

Its formation energy is 2.125 eV per atom. Its density of states at the Fermi level is 1.068 states/eV per atom. The volume comes out at 20.71 Å³ per atom. The value obtained for the magnetic moment is 2.4 μB per formula unit.

(11)
Here is an optimized crystal structure of LaTiMnB2 from Alexandria. Energies are from PBE.

It has space group P4/mmm (No. 123), with a = 4.1225 Å, b = 4.1225 Å, c = 4.3673 Å, α = 90.00°, β = 90.00° and γ = 90.00°. The distinct sites, in fractional coordinates, are La at (0.0000, 0.0000, 0.0000), Ti at (0.5000, 0.5000, 0.0000), Mn at (0.5000, 0.5000, 0.5000) and B at (0.0000, 0.5000, 0.5000).

Its formation energy is 0.240 eV per atom. Its density of states at the Fermi level is 0.615 states/eV per atom. The volume comes out at 14.84 Å³ per atom. The value obtained for the magnetic moment is 0.0 μB per formula unit.

(12)
Here is an optimized crystal structure of LaMn2TlB from Alexandria. Energies are from PBE.

It has space group P4/mmm (No. 123), with a = 4.4637 Å, b = 4.4637 Å, c = 5.1950 Å, α = 90.00°, β = 90.00° and γ = 90.00°. The distinct sites, in fractional coordinates, are La at (0.0000, 0.0000, 0.0000), Mn at (0.0000, 0.5000, 0.5000), Tl at (0.5000, 0.5000, 0.0000) and B at (0.0000, 0.0000, 0.5000).

Its formation energy is 0.265 eV per atom. Its density of states at the Fermi level is 0.496 states/eV per atom. The volume comes out at 20.70 Å³ per atom. The value obtained for the magnetic moment is 6.8 μB per formula unit.

(13)
Here is an optimized crystal structure of LaZr2MnB from Alexandria. Energies are from PBE.

It has space group P4/mmm (No. 123), with a = 4.8074 Å, b = 4.8074 Å, c = 4.8903 Å, α = 90.00°, β = 90.00° and γ = 90.00°. The distinct sites, in fractional coordinates, are La at (0.0000, 0.0000, 0.0000), Zr at (0.0000, 0.5000, 0.5000), Mn at (0.0000, 0.0000, 0.5000) and B at (0.5000, 0.5000, 0.0000).

Its formation energy is 0.957 eV per atom. Its density of states at the Fermi level is 1.300 states/eV per atom. The volume comes out at 22.60 Å³ per atom. The value obtained for the magnetic moment is 0.0 μB per formula unit.

(14)
Here is an optimized crystal structure of LaB14Mo from Alexandria. Energies are from PBE.

It has space group Imma (No. 74), with a = 5.8894 Å, b = 11.0464 Å, c = 8.3118 Å, α = 90.00°, β = 90.00° and γ = 90.00°. The distinct sites, in fractional coordinates, are La at (0.0000, 0.2500, 0.1269), B at (0.0000, 0.0804, 0.6690), B at (0.0000, 0.1180, 0.8681), B at (0.0000, 0.1668, 0.4702), B at (0.1606, 0.0616, 0.3400), B at (0.2466, 0.0761, 0.5499) and Mo at (0.2500, 0.2500, 0.7500).

Its formation energy is -0.130 eV per atom. Its density of states at the Fermi level is 0.236 states/eV per atom. The volume comes out at 8.45 Å³ per atom. The value obtained for the magnetic moment is 0.0 μB per formula unit.

(15)
Here is an optimized crystal structure of LaB2Mo from Alexandria. Energies are from PBE.

It has space group I4_1/amd (No. 141, origin choice 2), with a = 4.4563 Å, b = 4.4563 Å, c = 14.5227 Å, α = 90.00°, β = 90.00° and γ = 90.00°. The distinct sites, in fractional coordinates, are La at (0.0000, 0.2500, 0.3750), B at (0.0000, 0.0000, 0.0000) and Mo at (0.0000, 0.2500, 0.8750).

Its formation energy is 0.338 eV per atom. Its density of states at the Fermi level is 0.806 states/eV per atom. The volume comes out at 18.03 Å³ per atom. The value obtained for the magnetic moment is 0.0 μB per formula unit.

(16)
Here is an optimized crystal structure of LaBMo3 from Alexandria. Energies are from PBE.

It has space group Pm-3m (No. 221), with a = 4.7817 Å, b = 4.7817 Å, c = 4.7817 Å, α = 90.00°, β = 90.00° and γ = 90.00°. The distinct sites, in fractional coordinates, are La at (0.0000, 0.0000, 0.0000), B at (0.5000, 0.5000, 0.5000) and Mo at (0.0000, 0.0000, 0.5000).

Its formation energy is 3.166 eV per atom. Its density of states at the Fermi level is 1.661 states/eV per atom. The volume comes out at 21.87 Å³ per atom. The value obtained for the magnetic moment is 2.0 μB per formula unit.

(17)
Here is an optimized crystal structure of LaB2Mo from Alexandria. Energies are from PBE.

It has space group Fm-3m (No. 225), with a = 6.2469 Å, b = 6.2469 Å, c = 6.2469 Å, α = 90.00°, β = 90.00° and γ = 90.00°. The distinct sites, in fractional coordinates, are La at (0.0000, 0.0000, 0.0000), B at (0.2500, 0.2500, 0.2500) and Mo at (0.0000, 0.0000, 0.5000).

Its formation energy is 0.810 eV per atom. Its density of states at the Fermi level is 0.619 states/eV per atom. The volume comes out at 15.24 Å³ per atom. The value obtained for the magnetic moment is 2.3 μB per formula unit.

(18)
Here is an optimized crystal structure of LaBMo3 from Alexandria. Energies are from PBE.

It has space group Pm-3m (No. 221), with a = 4.4386 Å, b = 4.4386 Å, c = 4.4386 Å, α = 90.00°, β = 90.00° and γ = 90.00°. The distinct sites, in fractional coordinates, are La at (0.0000, 0.0000, 0.0000), B at (0.5000, 0.5000, 0.5000) and Mo at (0.0000, 0.5000, 0.5000).

Its formation energy is 0.467 eV per atom. Its density of states at the Fermi level is 1.380 states/eV per atom. The volume comes out at 17.49 Å³ per atom. The value obtained for the magnetic moment is 0.0 μB per formula unit.

(19)
Here is an optimized crystal structure of NaLaB2Mo from Alexandria. Energies are from PBE.

It has space group P4/mmm (No. 123), with a = 4.3535 Å, b = 4.3535 Å, c = 4.9730 Å, α = 90.00°, β = 90.00° and γ = 90.00°. The distinct sites, in fractional coordinates, are Na at (0.0000, 0.0000, 0.0000), La at (0.0000, 0.0000, 0.5000), B at (0.0000, 0.5000, 0.0000) and Mo at (0.5000, 0.5000, 0.5000).

Its formation energy is 2.296 eV per atom. Its density of states at the Fermi level is 0.849 states/eV per atom. The volume comes out at 18.85 Å³ per atom. The value obtained for the magnetic moment is 0.0 μB per formula unit.